Density functional theory data (PBE) for an optimized crystal structure of BaLiTa2.

space-group type	No. 123
DFT formation energy	1546.9	meV/atom
V	22.09	A^3/atom

Cell and atoms, written as extended XYZ:
```
4
Lattice="5.341 0.000 0.000 0.000 5.341 0.000 0.000 0.000 3.097" Properties=species:S:1:pos:R:3 pbc="T T T"
Ba 0.000 0.000 0.000
Li 2.671 2.671 0.000
Ta 0.000 2.671 1.548
Ta 2.671 0.000 1.548
```